[1]
Density functional theory data (GGA-PBE) for an optimized crystal structure of NaAcZn2Au4.

a = 10.152 Å, b = 10.152 Å, c = 10.152 Å
α = 26.20°, β = 26.20°, γ = 26.20°
Element x y z (fractional)
1 Na 0.000 0.000 0.000
2 Ac 0.500 0.500 0.500
3 Zn 0.258 0.258 0.258
4 Zn 0.742 0.742 0.742
5 Au 0.102 0.102 0.102
6 Au 0.389 0.389 0.389
7 Au 0.611 0.611 0.611
8 Au 0.898 0.898 0.898

## Properties
Energy, eV/atom: -3.0785
SG: No. 166
Calculated density, g/cm3: 10.80

[2]
Density functional theory data (GGA-PBE) for an optimized crystal structure of Ac4NdAu5.

a = 3.861 Å, b = 3.861 Å, c = 19.480 Å
α = 90.00°, β = 90.00°, γ = 90.00°
Element x y z (fractional)
1 Ac 0.000 0.000 0.102
2 Ac 0.000 0.000 0.305
3 Ac 0.000 0.000 0.695
4 Ac 0.000 0.000 0.898
5 Nd 0.000 0.000 0.500
6 Au 0.500 0.500 0.000
7 Au 0.500 0.500 0.204
8 Au 0.500 0.500 0.412
9 Au 0.500 0.500 0.588
10 Au 0.500 0.500 0.796

## Properties
Energy, eV/atom: -4.5256
SG: No. 123
Calculated density, g/cm3: 11.65

[3]
Density functional theory data (GGA-PBE) for an optimized crystal structure of AcNdAu.

a = 7.112 Å, b = 7.112 Å, c = 7.112 Å
α = 148.67°, β = 148.67°, γ = 44.90°
Element x y z (fractional)
1 Ac 0.000 0.000 0.000
2 Nd 0.282 0.282 0.000
3 Au 0.657 0.657 0.000

## Properties
Energy above the most stable polymorph in this dataset, eV per atom: 0.059
Energy, eV/atom: -4.5229
SG: No. 107
Calculated density, g/cm3: 9.73

[4]
Density functional theory data (GGA-PBE) for an optimized crystal structure of Ac2NdAu4.

a = 7.760 Å, b = 7.760 Å, c = 7.760 Å
α = 137.93°, β = 137.93°, γ = 61.02°
Element x y z (fractional)
1 Ac 0.214 0.214 0.000
2 Ac 0.786 0.786 0.000
3 Nd 0.500 0.500 0.000
4 Au 0.111 0.611 0.500
5 Au 0.389 0.889 0.500
6 Au 0.611 0.111 0.500
7 Au 0.889 0.389 0.500

## Properties
Energy, eV/atom: -4.3951
SG: No. 139
Calculated density, g/cm3: 11.09

no.,volume (Å³ per cell),energy of formation (eV/atom)
1,179.7,-0.443
2,290.3,-0.767
3,97.0,-0.472
4,207.5,-0.667